Material: AlCd2P
Method: DFT, PBE-GGA
State: relaxed

abc: 4.8943 4.8943 4.8943
angles: 60.00 60.00 60.00
Atoms (fractional coordinates):
Al: 0.0000 0.0000 0.0000
Cd: 0.2500 0.2500 0.2500
Cd: 0.7500 0.7500 0.7500
P: 0.5000 0.5000 0.5000

Computed properties:
The symmetry is Fm-3m (225). The volume comes out at 20.7 Å³ per atom. The energy relative to the lowest polymorph listed for this composition comes out at 404 meV/atom. Its total magnetization is 0.00 μB/cell. As for the energy of formation: 362 meV/atom.